A plane-wave DFT calculation with GGA-PBE was carried out for a geometry-optimized Pu2Hg17 structure.

a b c (Å): 8.880 8.880 8.880
angles (deg): 61.80 61.80 61.80
Atoms (fractional coordinates):
Pu  0.732  0.732  0.732
Hg  0.000  0.500  0.000
Hg  0.000  0.683  0.317
Hg  0.910  0.910  0.910
Hg  0.192  0.575  0.575
Hg  0.425  0.425  0.808
Hg  0.425  0.808  0.425
Hg  0.500  0.000  0.000
Hg  0.683  0.000  0.317
Hg  0.808  0.425  0.425
Hg  0.575  0.192  0.575
Hg  0.683  0.317  0.000
Hg  0.000  0.000  0.500
Hg  0.090  0.090  0.090
Hg  0.317  0.000  0.683
Pu  0.268  0.268  0.268
Hg  0.317  0.683  0.000
Hg  0.000  0.317  0.683
Hg  0.575  0.575  0.192

Computed properties:
* SG: R-3m
* DFT formation energy: -0.002 eV per atom
* Fermi-level density of states: 33.21 states/eV/cell

A plane-wave DFT calculation with GGA-PBE was carried out for a geometry-optimized Be2GaFePt structure.

a b c (Å): 4.044 4.443 4.044
angles (deg): 90.00 90.00 90.00
Atoms (fractional coordinates):
Fe  0.000  0.500  0.000
Pt  0.500  0.500  0.500
Be  0.000  0.000  0.500
Be  0.500  0.000  0.000
Ga  0.000  0.000  0.000

Computed properties:
* SG: P4/mmm
* DFT formation energy: 0.806 eV per atom
* Fermi-level density of states: 3.03 states/eV/cell

A plane-wave DFT calculation with GGA-PBE was carried out for a geometry-optimized AcMg12Rh6 structure.

a b c (Å): 7.515 7.515 7.515
angles (deg): 103.36 103.36 103.36
Atoms (fractional coordinates):
Ac  0.000  0.000  0.000
Mg  0.500  0.121  0.879
Mg  0.879  0.121  0.500
Rh  0.305  0.755  0.755
Mg  0.121  0.500  0.879
Mg  0.554  0.554  0.824
Rh  0.245  0.695  0.245
Mg  0.176  0.446  0.446
Rh  0.755  0.755  0.305
Rh  0.695  0.245  0.245
Mg  0.446  0.176  0.446
Rh  0.755  0.305  0.755
Mg  0.121  0.879  0.500
Rh  0.245  0.245  0.695
Mg  0.824  0.554  0.554
Mg  0.879  0.500  0.121
Mg  0.554  0.824  0.554
Mg  0.446  0.446  0.176
Mg  0.500  0.879  0.121

Computed properties:
* SG: R-3m
* DFT formation energy: -0.299 eV per atom
* Fermi-level density of states: 9.01 states/eV/cell